LaScZn2 | PBE-GGA | optimized geometry

Cell lengths 5.064, 5.064, 5.064 Å; angles 60.00, 60.00, 60.00 degrees
Positions (direct):
La (0.000, 0.000, 0.000)
Sc (0.500, 0.500, 0.500)
Zn (0.250, 0.250, 0.250)
Zn (0.750, 0.750, 0.750)

Values from the calculation:
- energy of formation (meV/atom) = -282
- energy relative to the lowest polymorph listed for this composition (eV/atom) = 0.034